VASP calculation (PBE) on crystalline Tb2AlHg8 at its relaxed geometry.

Values from the calculation:
N(E_F), states/eV per atom: 0.4288
Calculated total energy, eV/f.u.: -18.11
V, Å³/f.u.: 266.10
ΔH_f (0 K), eV/f.u.: -2.690

Cell lengths 4.610, 4.610, 12.522 Å; angles 90.00, 90.00, 90.00 degrees
Atoms (fractional coordinates):
Tb 0.000 0.000 0.191
Tb 0.000 0.000 0.809
Al 0.000 0.000 0.500
Hg 0.000 0.500 0.000
Hg 0.000 0.500 0.371
Hg 0.000 0.500 0.629
Hg 0.500 0.000 0.000
Hg 0.500 0.000 0.371
Hg 0.500 0.000 0.629
Hg 0.500 0.500 0.190
Hg 0.500 0.500 0.810

---

VASP calculation (PBE) on crystalline Tb5AlHg3 at its relaxed geometry.

Values from the calculation:
N(E_F), states/eV per atom: 0.9864
Calculated total energy, eV/f.u.: -31.16
V, Å³/f.u.: 239.09
ΔH_f (0 K), eV/f.u.: -3.357

Cell lengths 9.120, 9.120, 6.638 Å; angles 90.00, 90.00, 120.00 degrees
Atoms (fractional coordinates):
Tb 0.000 0.283 0.250
Tb 0.000 0.717 0.750
Tb 0.283 0.000 0.250
Tb 0.283 0.283 0.750
Tb 0.333 0.667 0.000
Tb 0.333 0.667 0.500
Tb 0.667 0.333 0.000
Tb 0.667 0.333 0.500
Tb 0.717 0.000 0.750
Tb 0.717 0.717 0.250
Al 0.000 0.000 0.000
Al 0.000 0.000 0.500
Hg 0.000 0.378 0.750
Hg 0.000 0.622 0.250
Hg 0.378 0.000 0.750
Hg 0.378 0.378 0.250
Hg 0.622 0.000 0.250
Hg 0.622 0.622 0.750

---

VASP calculation (PBE) on crystalline Tb6AlHg5 at its relaxed geometry.

Values from the calculation:
N(E_F), states/eV per atom: 1.0440
Calculated total energy, eV/f.u.: -38.53
V, Å³/f.u.: 309.48
ΔH_f (0 K), eV/f.u.: -5.499

Cell lengths 5.239, 7.486, 8.312 Å; angles 90.00, 108.30, 90.00 degrees
Atoms (fractional coordinates):
Tb 0.000 0.247 0.000
Tb 0.000 0.753 0.000
Tb 0.335 0.247 0.670
Tb 0.335 0.753 0.670
Tb 0.665 0.247 0.330
Tb 0.665 0.753 0.330
Al 0.500 0.000 0.000
Hg 0.163 0.000 0.328
Hg 0.166 0.500 0.331
Hg 0.500 0.500 0.000
Hg 0.834 0.500 0.669
Hg 0.837 0.000 0.672

---

VASP calculation (PBE) on crystalline Tb3Al2Hg2 at its relaxed geometry.

Values from the calculation:
N(E_F), states/eV per atom: 0.8645
Calculated total energy, eV/f.u.: -25.04
V, Å³/f.u.: 168.19
ΔH_f (0 K), eV/f.u.: -3.057

Cell lengths 11.113, 11.113, 3.519 Å; angles 90.00, 90.00, 157.23 degrees
Atoms (fractional coordinates):
Tb 0.000 0.000 0.000
Tb 0.161 0.839 0.000
Tb 0.839 0.161 0.000
Al 0.282 0.718 0.500
Al 0.718 0.282 0.500
Hg 0.419 0.581 0.500
Hg 0.581 0.419 0.500

---

VASP calculation (PBE) on crystalline Tb7Al2Hg2 at its relaxed geometry.

Values from the calculation:
N(E_F), states/eV per atom: 1.2102
Calculated total energy, eV/f.u.: -41.01
V, Å³/f.u.: 326.57
ΔH_f (0 K), eV/f.u.: -0.509

Cell lengths 6.683, 6.683, 7.765 Å; angles 90.00, 90.00, 109.66 degrees
Atoms (fractional coordinates):
Tb 0.000 0.000 0.000
Tb 0.000 0.500 0.291
Tb 0.000 0.500 0.709
Tb 0.500 0.000 0.291
Tb 0.500 0.000 0.709
Tb 0.500 0.500 0.272
Tb 0.500 0.500 0.728
Al 0.169 0.169 0.500
Al 0.831 0.831 0.500
Hg 0.292 0.708 0.000
Hg 0.708 0.292 0.000

---

VASP calculation (PBE) on crystalline TbThAlHg at its relaxed geometry.

Values from the calculation:
N(E_F), states/eV per atom: 0.7071
Calculated total energy, eV/f.u.: -17.27
V, Å³/f.u.: 105.06
ΔH_f (0 K), eV/f.u.: -1.173

Cell lengths 5.297, 5.297, 5.297 Å; angles 60.00, 60.00, 60.00 degrees
Atoms (fractional coordinates):
Tb 0.000 0.000 0.000
Th 0.500 0.500 0.500
Al 0.750 0.750 0.750
Hg 0.250 0.250 0.250